Cd5Pd (PBE, relaxed); theoretical density = 9.23 g/cm³; total energy = -1.76 eV per atom
1.0
2.1787 -6.5132 0.0000
2.1787 6.5132 0.0000
0.0000 0.0000 4.2361
Cd Pd
5 1
direct
0.0000 0.0000 0.0000 Cd
0.1619 0.8381 0.5000 Cd
0.3388 0.6612 0.0000 Cd
0.6612 0.3388 0.0000 Cd
0.8381 0.1619 0.5000 Cd
0.5000 0.5000 0.5000 Pd

Cd7Pd3 (PBE, relaxed); energy above the most stable polymorph in this dataset = 0.0 kJ per mole of atoms; theoretical density = 9.62 g/cm³; total energy = -2.46 eV per atom
1.0
7.5286 -2.2428 0.0000
7.5286 2.2428 0.0000
-1.3134 0.0000 5.6551
Cd Pd
7 3
direct
0.0000 0.0000 0.0000 Cd
0.2032 0.2032 0.6525 Cd
0.3792 0.3792 0.1396 Cd
0.4094 0.4094 0.6560 Cd
0.5906 0.5906 0.3440 Cd
0.6208 0.6208 0.8604 Cd
0.7968 0.7968 0.3475 Cd
0.0000 0.0000 0.5000 Pd
0.1880 0.1880 0.1561 Pd
0.8120 0.8120 0.8439 Pd

Cd13Pd2 (PBE, relaxed); theoretical density = 7.63 g/cm³; total energy = -1.44 eV per atom
1.0
4.0342 2.3291 6.4612
-4.0342 2.3291 6.4612
0.0000 -4.6582 6.4612
Cd Pd
13 2
direct
0.0000 0.0000 0.0000 Cd
0.1021 0.7408 0.7408 Cd
0.1512 0.5180 0.5180 Cd
0.2592 0.2592 0.8979 Cd
0.2592 0.8979 0.2592 Cd
0.4820 0.4820 0.8488 Cd
0.4820 0.8488 0.4820 Cd
0.5180 0.1512 0.5180 Cd
0.5180 0.5180 0.1512 Cd
0.7408 0.1021 0.7408 Cd
0.7408 0.7408 0.1021 Cd
0.8488 0.4820 0.4820 Cd
0.8979 0.2592 0.2592 Cd
0.2674 0.2674 0.2674 Pd
0.7326 0.7326 0.7326 Pd

Cd7Pd3 (PBE, relaxed); energy above the most stable polymorph in this dataset = 4.8 kJ per mole of atoms; theoretical density = 9.09 g/cm³; total energy = -2.41 eV per atom
1.0
9.1978 0.0000 0.0000
-4.5989 7.9655 0.0000
0.0000 0.0000 5.5133
Cd Pd
14 6
direct
0.0537 0.5269 0.0000 Cd
0.1226 0.2453 0.8008 Cd
0.1226 0.8774 0.8008 Cd
0.2453 0.1226 0.3008 Cd
0.3333 0.6667 0.6275 Cd
0.4731 0.5269 0.0000 Cd
0.4731 0.9463 0.0000 Cd
0.5269 0.0537 0.5000 Cd
0.5269 0.4731 0.5000 Cd
0.6667 0.3333 0.1275 Cd
0.7547 0.8774 0.8008 Cd
0.8774 0.1226 0.3008 Cd
0.8774 0.7547 0.3008 Cd
0.9463 0.4731 0.5000 Cd
0.1976 0.3952 0.3118 Pd
0.1976 0.8024 0.3118 Pd
0.3952 0.1976 0.8118 Pd
0.6048 0.8024 0.3118 Pd
0.8024 0.1976 0.8118 Pd
0.8024 0.6048 0.8118 Pd